No. 1
Density functional theory data (GGA-PBE) for a relaxed SmDy3Tl4Se8 crystal.

Lattice parameters (Å, degrees): 9.1651 9.1651 9.1651 54.66 54.66 54.66
With the nearest neighbours (Å) after each atom.
Atoms (fractional coordinates):
Sm1 0.0000 0.0000 0.0000  6 Se 2.94
Dy1 0.0000 0.5000 0.5000  6 Se 2.89-2.90
Dy2 0.5000 0.0000 0.5000  6 Se 2.89-2.90
Dy3 0.5000 0.5000 0.0000  6 Se 2.89-2.90
Tl1 0.0000 0.0000 0.5000  6 Se 3.35
Tl2 0.0000 0.5000 0.0000  6 Se 3.35
Tl3 0.5000 0.0000 0.0000  6 Se 3.35
Tl4 0.5000 0.5000 0.5000  6 Se 3.31
Se1 0.2376 0.2376 0.7306  2 Dy 2.89, 1 Sm 2.94
Se2 0.2376 0.7306 0.2376  2 Dy 2.89, 1 Sm 2.94
Se3 0.2655 0.2655 0.2655  3 Dy 2.90
Se4 0.2694 0.7624 0.7624  2 Dy 2.89, 1 Sm 2.94
Se5 0.7306 0.2376 0.2376  2 Dy 2.89, 1 Sm 2.94
Se6 0.7345 0.7345 0.7345  3 Dy 2.90
Se7 0.7624 0.2694 0.7624  2 Dy 2.89, 1 Sm 2.94
Se8 0.7624 0.7624 0.2694  2 Dy 2.89, 1 Sm 2.94

total energy	-4.878	eV/atom
ΔE_f (raw)	-1.386	eV/atom

***

No. 2
Density functional theory data (GGA-PBE) for a relaxed PmNp4Sb5 crystal.

Lattice parameters (Å, degrees): 11.6845 11.6845 11.6845 158.24 149.02 38.18
With the nearest neighbours (Å) after each atom.
Atoms (fractional coordinates):
Pm1 0.0000 0.0000 0.0000  6 Sb 3.12-3.17
Np1 0.2016 0.2016 0.0000  6 Sb 3.10-3.12
Np2 0.4002 0.4002 0.0000  6 Sb 3.11-3.12
Np3 0.5998 0.5998 0.0000  6 Sb 3.11-3.12
Np4 0.7984 0.7984 0.0000  6 Sb 3.10-3.12
Sb1 0.1029 0.6029 0.5000  4 Np 3.10-3.12, 2 Pm 3.17
Sb2 0.3009 0.8009 0.5000  6 Np 3.11-3.12
Sb3 0.5000 0.0000 0.5000  4 Np 3.12, 2 Pm 3.12
Sb4 0.6991 0.1991 0.5000  6 Np 3.11-3.12
Sb5 0.8971 0.3971 0.5000  4 Np 3.10-3.12, 2 Pm 3.17

total energy	-8.099	eV/atom
ΔE_f (raw)	-0.387	eV/atom

***

No. 3
Density functional theory data (GGA-PBE) for a relaxed Sr2NbBiO crystal.

Lattice parameters (Å, degrees): 6.4202 6.4202 3.9493 90.00 90.00 90.00
With the nearest neighbours (Å) after each atom.
Atoms (fractional coordinates):
Sr1 0.0000 0.5000 0.0000  2 Nb 3.21
Sr2 0.5000 0.0000 0.0000  2 Nb 3.21
Nb1 0.0000 0.0000 0.0000  2 O 1.97
Bi1 0.5000 0.5000 0.5000  8 Sr 3.77, 2 Bi 3.95
O1 0.0000 0.0000 0.5000  2 Nb 1.97

total energy	-4.932	eV/atom
ΔE_f (raw)	-0.477	eV/atom

***

No. 4
Density functional theory data (GGA-PBE) for a relaxed Ac4Co2I5 crystal.

Lattice parameters (Å, degrees): 11.4878 11.4878 11.4878 157.90 131.93 53.51
With the nearest neighbours (Å) after each atom.
Atoms (fractional coordinates):
Ac1 0.1734 0.1734 0.0000  1 Co 2.50
Ac2 0.2032 0.5000 0.7032  4 Co 3.10
Ac3 0.7968 0.5000 0.2968  4 Co 3.10
Ac4 0.8266 0.8266 0.0000  1 Co 2.50
Co1 0.0517 0.0517 0.0000  1 Co 2.12
Co2 0.9483 0.9483 0.0000  1 Co 2.12
I1 0.1111 0.3313 0.7799  3 Ac 3.42-3.54
I2 0.4486 0.6687 0.7799  3 Ac 3.42-3.54
I3 0.5000 0.0000 0.5000  4 Ac 3.54
I4 0.5514 0.3313 0.2201  3 Ac 3.42-3.54
I5 0.8889 0.6687 0.2201  3 Ac 3.42-3.54

total energy	-4.335	eV/atom
ΔE_f (raw)	-0.845	eV/atom

***

No. 5
Density functional theory data (GGA-PBE) for a relaxed SrMgAl2Au5 crystal.

Lattice parameters (Å, degrees): 4.8113 4.8113 9.2036 90.00 90.00 90.00
With the nearest neighbours (Å) after each atom.
Atoms (fractional coordinates):
Sr1 0.0000 0.0000 0.0000  4 Au 3.40
Mg1 0.0000 0.0000 0.5000  8 Au 2.81
Al1 0.5000 0.5000 0.2676  5 Au 2.46-2.50
Al2 0.5000 0.5000 0.7324  5 Au 2.46-2.50
Au1 0.0000 0.5000 0.3414  2 Al 2.50
Au2 0.0000 0.5000 0.6586  2 Al 2.50
Au3 0.5000 0.0000 0.3414  2 Al 2.50
Au4 0.5000 0.0000 0.6586  2 Al 2.50
Au5 0.5000 0.5000 0.0000  2 Al 2.46

formation energy from the elements	-402	meV/atom
total energy	-3.418	eV/atom

***

No. 6
Density functional theory data (GGA-PBE) for a relaxed Pm2Cd5Ag4 crystal.

Lattice parameters (Å, degrees): 10.4883 9.8000 5.5762 80.98 67.34 31.67
With the nearest neighbours (Å) after each atom.
Atoms (fractional coordinates):
Pm1 0.1219 0.1219 0.8781  6 Ag 3.27-3.29, 4 Cd 3.60
Pm2 0.8781 0.8781 0.1219  6 Ag 3.27-3.29, 4 Cd 3.60
Cd1 0.0000 0.0000 0.5000  4 Cd 2.79-2.93, 4 Ag 2.99
Cd2 0.2500 0.2500 0.2500  4 Ag 2.81, 2 Cd 2.93
Cd3 0.5000 0.5000 0.0000  4 Cd 2.79-2.93, 4 Ag 2.99
Cd4 0.5000 0.5000 0.5000  4 Cd 2.79, 4 Ag 2.86
Cd5 0.7500 0.7500 0.7500  4 Ag 2.81, 2 Cd 2.93
Ag1 0.2128 0.5254 0.4746  5 Cd 2.81-2.99, 1 Ag 2.97
Ag2 0.4746 0.7872 0.2128  5 Cd 2.81-2.99, 1 Ag 2.97
Ag3 0.5254 0.2128 0.7872  5 Cd 2.81-2.99, 1 Ag 2.97
Ag4 0.7872 0.4746 0.5254  5 Cd 2.81-2.99, 1 Ag 2.97

formation energy from the elements	-166	meV/atom
total energy	-2.483	eV/atom